[1]
VASP calculation (PBE) on crystalline Pr4ErZn at its relaxed geometry.

## Properties
The symmetry is C2/c. The value obtained for the excess energy over the best structure of this formula in the dataset is 54 kJ/mol of formula units. As for the volume: 32.0 Å³/atom. The total energy comes out at -4.154 eV/atom.

```
12
Lattice="-1.170 4.906 3.959 -6.128 -6.916 1.121 7.773 -1.873 2.246" Properties=species:S:1:pos:R:3 pbc="T T T"
Pr 4.966 -2.416 2.122
Pr -0.339 -2.366 5.248
Pr 2.051 -4.527 3.364
Pr -1.150 -5.743 3.916
Pr 1.625 1.860 3.410
Pr -1.576 0.644 3.962
Pr 0.814 -1.517 2.079
Pr -4.492 -1.468 5.204
Er -2.586 -2.770 2.445
Er 3.060 -1.114 4.881
Zn -0.286 1.222 0.997
Zn 0.761 -5.105 6.329
```

[2]
VASP calculation (PBE) on crystalline PrEr3Zn at its relaxed geometry.

## Properties
The symmetry is C2/m. As for the volume: 30.8 Å³/atom. The total energy comes out at -3.904 eV/atom.

```
10
Lattice="-6.597 1.700 3.602 3.639 -6.234 2.697 5.379 4.740 0.462" Properties=species:S:1:pos:R:3 pbc="T T T"
Pr -0.446 4.737 3.201
Pr 2.867 -4.532 3.560
Er -3.178 2.339 3.455
Er 2.224 -1.193 2.398
Er 0.196 1.398 4.362
Er -2.426 -0.922 3.673
Er 5.598 -2.133 3.306
Er 4.846 1.127 3.087
Zn 0.354 -1.564 4.516
Zn 2.067 1.770 2.244
```

[3]
VASP calculation (PBE) on crystalline Pr2Er2Zn at its relaxed geometry.

## Properties
The symmetry is I4/mmm. As for the volume: 29.4 Å³/atom. The total energy comes out at -4.118 eV/atom.

```
5
Lattice="-2.880 1.598 -1.424 0.625 -1.654 -3.123 -5.395 -8.748 5.615" Properties=species:S:1:pos:R:3 pbc="T T T"
Pr -5.166 -5.462 -0.204
Pr -2.484 -3.342 1.273
Er -2.111 -1.351 -1.769
Er -5.539 -7.453 2.838
Zn 0.000 0.000 0.000
```

Number 1: E_form 5 meV per atom. Number 2: E_form 44 meV per atom. Number 3: E_form -127 meV per atom.